Material: UTiMnO6
Method: DFT, GGA+U
State: optimized geometry

Structure (POSCAR):
```
UTiMnO6
1.0
5.400 0.000 0.000
-2.700 4.677 0.000
0.000 0.000 9.157
O Mn Ti U
12 2 2 2
direct
0.985 0.346 0.136 O
0.361 0.346 0.364 O
0.361 0.015 0.136 O
0.015 0.654 0.864 O
0.015 0.361 0.636 O
0.639 0.985 0.864 O
0.346 0.361 0.864 O
0.654 0.015 0.364 O
0.346 0.985 0.636 O
0.639 0.654 0.636 O
0.985 0.639 0.364 O
0.654 0.639 0.136 O
0.000 0.000 0.000 Mn
0.000 0.000 0.500 Mn
0.333 0.667 0.750 Ti
0.667 0.333 0.250 Ti
0.333 0.667 0.250 U
0.667 0.333 0.750 U
```

Output
Energy = -8.998 eV/atom
M_tot = 10.00 μB/cell